<P>
Here is crystalline DyYPdPt at its relaxed geometry from Alexandria. Energies are from GGA-PBE.

Its total magnetization is 0.000 μB/atom. The value obtained for the density of states at the Fermi level is 3.118 states/eV/f.u.

Lattice parameters (Å, degrees): 3.785 4.500 5.599 90.00 109.76 90.00
Fractional positions:
Dy (0.138, 0.000, 0.275)
Y (0.862, 0.500, 0.724)
Pd (0.587, 0.500, 0.173)
Pt (0.414, 0.000, 0.828)

<Q>
Here is crystalline DyYPdPt at its relaxed geometry from Alexandria. Energies are from GGA-PBE.

Its total magnetization is 0.000 μB/atom. The value obtained for the density of states at the Fermi level is 3.750 states/eV/f.u.

Lattice parameters (Å, degrees): 4.958 4.958 4.958 60.00 60.00 60.00
Fractional positions:
Y (0.000, 0.000, 0.000)
Pd (0.250, 0.250, 0.250)
Pt (0.750, 0.750, 0.750)
Dy (0.500, 0.500, 0.500)

Most stable structure, least stable structure: <P>, <Q>.

<P>
Here is crystalline Dy8Pd2Rh at its relaxed geometry from Alexandria. Energies are from GGA-PBE.

Its total magnetization is 0.000 μB/atom. The value obtained for the density of states at the Fermi level is 12.344 states/eV/f.u.

Lattice parameters (Å, degrees): 5.080 6.719 9.010 104.29 106.37 90.00
Fractional positions:
Dy (0.411, 0.557, 0.821)
Dy (0.664, 0.975, 0.329)
Dy (0.797, 0.678, 0.595)
Dy (0.968, 0.213, 0.936)
Dy (0.203, 0.322, 0.405)
Dy (0.336, 0.025, 0.671)
Dy (0.589, 0.443, 0.179)
Dy (0.032, 0.787, 0.064)
Pd (0.811, 0.273, 0.622)
Pd (0.189, 0.727, 0.378)
Rh (0.500, 0.000, 0.000)

<Q>
Here is crystalline Dy8Pd2Rh at its relaxed geometry from Alexandria. Energies are from GGA-PBE.

Its total magnetization is 0.000 μB/atom. The value obtained for the density of states at the Fermi level is 12.314 states/eV/f.u.

Lattice parameters (Å, degrees): 5.924 7.745 7.745 115.99 100.86 100.86
Fractional positions:
Dy (0.584, 0.340, 0.092)
Dy (0.584, 0.092, 0.340)
Dy (0.169, 0.364, 0.364)
Dy (0.989, 0.209, 0.795)
Dy (0.989, 0.795, 0.209)
Dy (0.815, 0.643, 0.643)
Dy (0.377, 0.912, 0.663)
Dy (0.377, 0.663, 0.912)
Pd (0.493, 0.703, 0.308)
Pd (0.493, 0.308, 0.703)
Rh (0.129, 0.006, 0.006)

Most stable structure, least stable structure: <P>, <Q>.

<P>
Here is crystalline SmDyPdRh at its relaxed geometry from Alexandria. Energies are from GGA-PBE.

Its total magnetization is 0.000 μB/atom. The value obtained for the density of states at the Fermi level is 2.536 states/eV/f.u.

Lattice parameters (Å, degrees): 3.749 4.483 5.638 90.00 109.42 90.00
Fractional positions:
Sm (0.142, 0.000, 0.284)
Dy (0.864, 0.500, 0.728)
Pd (0.584, 0.500, 0.169)
Rh (0.410, 0.000, 0.819)

<Q>
Here is crystalline SmDyPdRh at its relaxed geometry from Alexandria. Energies are from GGA-PBE.

Its total magnetization is 0.000 μB/atom. The value obtained for the density of states at the Fermi level is 2.639 states/eV/f.u.

Lattice parameters (Å, degrees): 4.954 4.954 4.954 60.00 60.00 60.00
Fractional positions:
Rh (0.500, 0.500, 0.500)
Pd (0.000, 0.000, 0.000)
Sm (0.750, 0.750, 0.750)
Dy (0.250, 0.250, 0.250)

Most stable structure, least stable structure: <P>, <Q>.

<P>
Here is crystalline DyThPdRh at its relaxed geometry from Alexandria. Energies are from GGA-PBE.

Its total magnetization is 0.000 μB/atom. The value obtained for the density of states at the Fermi level is 5.112 states/eV/f.u.

Lattice parameters (Å, degrees): 5.015 5.015 5.015 60.00 60.00 60.00
Fractional positions:
Rh (0.500, 0.500, 0.500)
Pd (0.000, 0.000, 0.000)
Th (0.250, 0.250, 0.250)
Dy (0.750, 0.750, 0.750)

<Q>
Here is crystalline DyThPdRh at its relaxed geometry from Alexandria. Energies are from GGA-PBE.

Its total magnetization is 0.000 μB/atom. The value obtained for the density of states at the Fermi level is 2.946 states/eV/f.u.

Lattice parameters (Å, degrees): 3.837 4.239 5.954 90.00 108.80 90.00
Fractional positions:
Dy (0.142, 0.000, 0.284)
Th (0.867, 0.500, 0.733)
Pd (0.589, 0.500, 0.179)
Rh (0.402, 0.000, 0.804)

Most stable structure, least stable structure: <Q>, <P>.